# 1
DFT (PBE) results for a geometry-optimized CuSn2AuS4 structure.

Results
Total energy ... -4.20 eV per atom
V ... 199 Å³/cell
ΔE_f (raw) ... -0.216 eV/atom

a = 7.077 Å, b = 6.484 Å, c = 6.294 Å
α = 67.25°, β = 57.66°, γ = 55.10°
Sites, in units of the cell vectors:
Cu1 0.000 0.000 0.000
Sn1 0.233 0.233 0.267
Sn2 0.733 0.733 0.767
Au1 0.375 0.375 0.625
S1 0.046 0.623 0.954
S2 0.294 0.853 0.147
S3 0.623 0.046 0.377
S4 0.853 0.294 0.706



# 2
DFT (PBE) results for a geometry-optimized Fe3AgRh structure.

Results
Energy above the most stable polymorph in this dataset ... 0.00 eV per formula unit
Energy of formation ... 5.86 eV per formula unit
Total energy ... -5.95 eV per atom
V ... 98 Å³/cell

a = 4.614 Å, b = 4.614 Å, c = 4.614 Å
α = 90.00°, β = 90.00°, γ = 90.00°
Sites, in units of the cell vectors:
Fe1 0.000 0.000 0.500
Fe2 0.000 0.500 0.000
Fe3 0.500 0.000 0.000
Ag1 0.500 0.500 0.500
Rh1 0.000 0.000 0.000



# 3
DFT (PBE) results for a geometry-optimized MnNbS2 structure.

Results
Energy above the most stable polymorph in this dataset ... 0.00 eV per formula unit
Total energy ... -7.60 eV per atom
V ... 243 Å³/cell
ΔE_f (raw) ... -0.730 eV/atom

a = 5.628 Å, b = 3.245 Å, c = 13.303 Å
α = 90.00°, β = 90.00°, γ = 90.00°
Sites, in units of the cell vectors:
Mn1 0.054 0.250 0.088
Mn2 0.446 0.750 0.588
Mn3 0.554 0.250 0.412
Mn4 0.946 0.750 0.912
Nb1 0.087 0.250 0.312
Nb2 0.413 0.750 0.812
Nb3 0.587 0.250 0.188
Nb4 0.913 0.750 0.688
S1 0.242 0.750 0.183
S2 0.248 0.750 0.439
S3 0.252 0.250 0.939
S4 0.258 0.250 0.683
S5 0.742 0.750 0.317
S6 0.748 0.750 0.061
S7 0.752 0.250 0.561
S8 0.758 0.250 0.817



# 4
DFT (PBE) results for a geometry-optimized Dy3Y4Ho2 structure.

Results
Energy of formation ... 0.91 eV per formula unit
Total energy ... -5.32 eV per atom
V ... 571 Å³/cell

a = 9.969 Å, b = 9.969 Å, c = 6.116 Å
α = 94.86°, β = 94.86°, γ = 70.79°
Sites, in units of the cell vectors:
Dy1 0.094 0.906 0.750
Dy2 0.235 0.431 0.918
Dy3 0.431 0.235 0.418
Dy4 0.569 0.765 0.582
Dy5 0.765 0.569 0.082
Dy6 0.906 0.094 0.250
Y1 0.073 0.351 0.348
Y2 0.312 0.596 0.487
Y3 0.351 0.073 0.848
Y4 0.404 0.688 0.013
Y5 0.596 0.312 0.987
Y6 0.649 0.927 0.152
Y7 0.688 0.404 0.513
Y8 0.927 0.649 0.652
Ho1 0.023 0.738 0.178
Ho2 0.262 0.977 0.322
Ho3 0.738 0.023 0.678
Ho4 0.977 0.262 0.822



# 5
DFT (PBE) results for a geometry-optimized BaHgBi2H structure.

Results
Energy above the most stable polymorph in this dataset ... 0.07 eV per formula unit
Total energy ... -2.88 eV per atom
V ... 140 Å³/cell

a = 4.927 Å, b = 4.927 Å, c = 5.774 Å
α = 90.00°, β = 90.00°, γ = 90.00°
Sites, in units of the cell vectors:
Ba1 0.000 0.000 0.000
Hg1 0.500 0.500 0.000
Bi1 0.000 0.500 0.500
Bi2 0.500 0.000 0.500
H1 0.500 0.500 0.500



# 6
DFT (PBE) results for a geometry-optimized ZnRuSe2 structure.

Results
Total energy ... -4.29 eV per atom
V ... 74 Å³/cell
ΔE_f (raw) ... 0.086 eV/atom

a = 6.494 Å, b = 6.494 Å, c = 6.494 Å
α = 153.27°, β = 142.94°, γ = 46.28°
Sites, in units of the cell vectors:
Zn1 0.000 0.000 0.000
Ru1 0.210 0.710 0.500
Se1 0.377 0.377 0.000
Se2 0.654 0.154 0.500



# 7
DFT (PBE) results for a geometry-optimized Nd3CdNi8 structure.

Results
Energy of formation ... -3.63 eV per formula unit
Total energy ... -5.42 eV per atom
V ... 189 Å³/cell

a = 8.900 Å, b = 8.900 Å, c = 8.900 Å
α = 33.29°, β = 33.29°, γ = 33.29°
Sites, in units of the cell vectors:
Nd1 0.000 0.000 0.000
Nd2 0.128 0.128 0.128
Nd3 0.511 0.511 0.511
Cd1 0.632 0.632 0.632
Ni1 0.064 0.568 0.568
Ni2 0.069 0.069 0.565
Ni3 0.069 0.565 0.069
Ni4 0.317 0.317 0.317
Ni5 0.565 0.069 0.069
Ni6 0.568 0.064 0.568
Ni7 0.568 0.568 0.064
Ni8 0.817 0.817 0.817



# 8
DFT (PBE) results for a geometry-optimized Al2Zn2Bi structure.

Results
Energy above the most stable polymorph in this dataset ... 0.34 eV per formula unit
Energy of formation ... 0.86 eV per formula unit
Total energy ... -2.61 eV per atom
V ... 200 Å³/cell

a = 7.924 Å, b = 7.924 Å, c = 3.178 Å
α = 90.00°, β = 90.00°, γ = 90.00°
Sites, in units of the cell vectors:
Al1 0.121 0.379 0.000
Al2 0.379 0.879 0.000
Al3 0.621 0.121 0.000
Al4 0.879 0.621 0.000
Zn1 0.177 0.677 0.500
Zn2 0.323 0.177 0.500
Zn3 0.677 0.823 0.500
Zn4 0.823 0.323 0.500
Bi1 0.000 0.000 0.000
Bi2 0.500 0.500 0.000



# 9
DFT (PBE) results for a geometry-optimized SmScTaN3 structure.

Results
Total energy ... -9.43 eV per atom
V ... 155 Å³/cell
ΔE_f (raw) ... -1.452 eV/atom

a = 5.707 Å, b = 3.301 Å, c = 8.454 Å
α = 90.00°, β = 103.81°, γ = 90.00°
Sites, in units of the cell vectors:
Sm1 0.159 0.250 0.191
Sm2 0.841 0.750 0.809
Sc1 0.273 0.750 0.541
Sc2 0.727 0.250 0.459
Ta1 0.359 0.250 0.852
Ta2 0.641 0.750 0.148
N1 0.059 0.250 0.668
N2 0.259 0.750 0.985
N3 0.465 0.750 0.342
N4 0.535 0.250 0.658
N5 0.741 0.250 0.015
N6 0.941 0.750 0.332



# 10
DFT (PBE) results for a geometry-optimized CoHgIr structure.

Results
Energy above the most stable polymorph in this dataset ... 0.00 eV per formula unit
Energy of formation ... 1.00 eV per formula unit
Total energy ... -5.09 eV per atom
V ... 47 Å³/cell

a = 6.069 Å, b = 6.069 Å, c = 6.069 Å
α = 152.82°, β = 152.82°, γ = 38.81°
Sites, in units of the cell vectors:
Co1 0.000 0.000 0.000
Hg1 0.324 0.324 0.000
Ir1 0.633 0.633 0.000



# 11
DFT (PBE) results for a geometry-optimized Ce4PrGd structure.

Results
Energy of formation ... 1.21 eV per formula unit
Total energy ... -6.90 eV per atom
V ... 182 Å³/cell

a = 6.363 Å, b = 6.363 Å, c = 6.363 Å
α = 60.00°, β = 60.00°, γ = 60.00°
Sites, in units of the cell vectors:
Ce1 0.377 0.377 0.377
Ce2 0.377 0.377 0.869
Ce3 0.377 0.869 0.377
Ce4 0.869 0.377 0.377
Pr1 0.000 0.000 0.000
Gd1 0.750 0.750 0.750



# 12
DFT (PBE) results for a geometry-optimized Pm2SnWN5 structure.

Results
Total energy ... -8.21 eV per atom
V ... 249 Å³/cell
ΔE_f (raw) ... -0.647 eV/atom

a = 7.114 Å, b = 7.114 Å, c = 10.554 Å
α = 90.00°, β = 90.00°, γ = 152.22°
Sites, in units of the cell vectors:
Pm1 0.106 0.894 0.500
Pm2 0.151 0.849 0.096
Pm3 0.849 0.151 0.596
Pm4 0.894 0.106 0.000
Sn1 0.220 0.780 0.817
Sn2 0.780 0.220 0.317
W1 0.481 0.519 0.263
W2 0.519 0.481 0.763
N1 0.048 0.952 0.846
N2 0.278 0.722 0.462
N3 0.322 0.678 0.190
N4 0.380 0.620 0.816
N5 0.488 0.512 0.590
N6 0.512 0.488 0.090
N7 0.620 0.380 0.316
N8 0.678 0.322 0.690
N9 0.722 0.278 0.962
N10 0.952 0.048 0.346